1.
Computed, not measured: a relaxed structure of SmAlSi2Os at the PBE level of DFT.

a = 3.943 Å, b = 3.943 Å, c = 6.139 Å
α = 108.73°, β = 108.73°, γ = 90.00°
Positions (direct):
Sm 0.000 0.000 0.000
Si 0.389 0.389 0.777
Si 0.611 0.611 0.223
Os 0.250 0.750 0.500
Al 0.750 0.250 0.500

As for the formation energy from raw total energies: -631.1 meV/atom.

***

2.
Computed, not measured: a relaxed structure of Th2AlSi3Os4 at the PBE level of DFT.

a = 4.207 Å, b = 4.207 Å, c = 10.059 Å
α = 90.00°, β = 90.00°, γ = 90.00°
Positions (direct):
Al 0.500 0.500 0.500
Si 0.000 0.500 0.119
Si 0.000 0.000 0.500
Si 0.500 0.000 0.881
Os 0.500 0.000 0.639
Os 0.000 0.500 0.361
Os 0.000 0.000 0.000
Os 0.500 0.500 0.000
Th 0.500 0.000 0.247
Th 0.000 0.500 0.753

As for the formation energy from raw total energies: -638.1 meV/atom.

***

3.
Computed, not measured: a relaxed structure of ThAl2SiOs2 at the PBE level of DFT.

a = 4.461 Å, b = 4.461 Å, c = 5.710 Å
α = 90.00°, β = 90.00°, γ = 90.00°
Positions (direct):
Os 0.000 0.500 0.000
Os 0.500 0.000 0.000
Al 0.500 0.500 0.736
Al 0.500 0.500 0.264
Si 0.000 0.000 0.000
Th 0.000 0.000 0.500

As for the formation energy from raw total energies: -203.0 meV/atom.

***

4.
Computed, not measured: a relaxed structure of U2Al2Si4Os at the PBE level of DFT.

a = 5.949 Å, b = 5.949 Å, c = 5.949 Å
α = 91.20°, β = 119.31°, γ = 119.31°
Positions (direct):
Si 0.000 0.720 0.280
Si 0.561 0.280 0.280
Si 0.000 0.280 0.720
Si 0.439 0.720 0.720
Al 0.000 0.711 0.711
Al 0.000 0.289 0.289
U 0.500 0.750 0.250
U 0.500 0.250 0.750
Os 0.000 0.000 0.000

As for the formation energy from raw total energies: -317.2 meV/atom.

***

5.
Computed, not measured: a relaxed structure of U2AlSi3Os4 at the PBE level of DFT.

a = 4.088 Å, b = 4.088 Å, c = 10.112 Å
α = 90.00°, β = 90.00°, γ = 90.00°
Last column: magnetic moment on the atom in μB.
Positions (direct):
U 0.000 0.500 0.753  1.57
U 0.500 0.000 0.247  1.57
Os 0.000 0.000 0.000  -0.08
Os 0.000 0.500 0.356  -0.10
Os 0.500 0.500 0.000  -0.07
Os 0.500 0.000 0.644  -0.10
Si 0.000 0.500 0.123  -0.01
Si 0.500 0.000 0.877  -0.01
Si 0.000 0.000 0.500  0.00
Al 0.500 0.500 0.500  0.00

As for the formation energy from raw total energies: -389.9 meV/atom.

***

6.
Computed, not measured: a relaxed structure of Al2VSiOs at the PBE level of DFT.

a = 4.462 Å, b = 4.306 Å, c = 4.462 Å
α = 90.00°, β = 90.00°, γ = 90.00°
Last column: magnetic moment on the atom in μB.
Positions (direct):
Si 0.000 0.000 0.000  0.00
Al 0.500 0.000 0.000  0.00
Al 0.000 0.000 0.500  0.00
Os 0.500 0.500 0.500  0.31
V 0.000 0.500 0.000  0.45

As for the formation energy from raw total energies: 1127.0 meV/atom.

***

7.
Computed, not measured: a relaxed structure of AlZnSi2Os at the PBE level of DFT.

a = 4.607 Å, b = 4.594 Å, c = 4.607 Å
α = 90.00°, β = 90.00°, γ = 90.00°
Positions (direct):
Si 0.500 0.000 0.000
Si 0.000 0.000 0.500
Zn 0.500 0.500 0.500
Al 0.000 0.000 0.000
Os 0.000 0.500 0.000

As for the formation energy from raw total energies: 1305.6 meV/atom.

***

8.
Computed, not measured: a relaxed structure of SmAl2Os at the PBE level of DFT.

a = 4.264 Å, b = 4.264 Å, c = 5.714 Å
α = 68.09°, β = 68.09°, γ = 60.00°
Positions (direct):
Sm 0.000 0.000 0.000
Al 0.794 0.794 0.619
Al 0.206 0.206 0.381
Os 0.500 0.500 0.500

The energy relative to the elements is -156 kJ/mol of formula units.

***

9.
Computed, not measured: a relaxed structure of SmAlOs at the PBE level of DFT.

a = 3.286 Å, b = 3.286 Å, c = 5.962 Å
α = 106.00°, β = 106.00°, γ = 90.00°
Positions (direct):
Os 0.692 0.692 0.384
Al 0.294 0.294 0.588
Sm 0.014 0.014 0.028

The energy relative to the elements is -69 kJ/mol of formula units.

***

10.
Computed, not measured: a relaxed structure of Sm6AlOs2 at the PBE level of DFT.

a = 8.611 Å, b = 8.611 Å, c = 8.611 Å
α = 104.20°, β = 112.35°, γ = 112.00°
Positions (direct):
Sm 0.801 0.243 0.045
Sm 0.095 0.278 0.817
Sm 0.199 0.757 0.955
Sm 0.314 0.985 0.671
Sm 0.314 0.643 0.329
Sm 0.686 0.015 0.329
Sm 0.461 0.278 0.183
Sm 0.539 0.722 0.817
Sm 0.199 0.243 0.442
Sm 0.905 0.722 0.183
Sm 0.801 0.757 0.558
Sm 0.686 0.357 0.671
Os 0.316 0.000 0.316
Os 0.500 0.619 0.119
Os 0.684 0.000 0.684
Os 0.500 0.381 0.881
Al 0.000 0.500 0.500
Al 0.000 0.000 0.000

The energy relative to the elements is -173 kJ/mol of formula units.

***

11.
Computed, not measured: a relaxed structure of SmAl2Os at the PBE level of DFT.

a = 3.160 Å, b = 3.160 Å, c = 7.388 Å
α = 90.00°, β = 90.00°, γ = 90.00°
Positions (direct):
Os 0.500 0.500 0.000
Sm 0.500 0.500 0.500
Al 0.000 0.000 0.184
Al 0.000 0.000 0.816

The energy relative to the elements is -140 kJ/mol of formula units.

***

12.
Computed, not measured: a relaxed structure of Sm3Al3Os at the PBE level of DFT.

a = 3.940 Å, b = 6.090 Å, c = 14.975 Å
α = 82.56°, β = 82.44°, γ = 71.12°
Positions (direct):
Al 0.096 0.883 0.926
Al 0.179 0.177 0.466
Al 0.904 0.117 0.074
Al 0.975 0.821 0.230
Al 0.821 0.823 0.534
Al 0.025 0.179 0.770
Sm 0.740 0.761 0.759
Sm 0.260 0.239 0.241
Sm 0.481 0.650 0.388
Sm 0.377 0.325 0.920
Sm 0.519 0.350 0.612
Sm 0.623 0.675 0.080
Os 0.217 0.939 0.627
Os 0.783 0.061 0.373

The energy relative to the elements is -256 kJ/mol of formula units.